Compound: GdDyTmSn
Source: Alexandria
Functional: GGA-PBE
Structure: optimized geometry

abc: 5.3961 5.3961 5.3961
angles: 60.00 60.00 60.00
Site moments in Bohr magnetons follow the coordinates.
Sites, in units of the cell vectors:
Gd 0.0000 0.0000 0.0000  7.22
Tm 0.7500 0.7500 0.7500  0.21
Sn 0.2500 0.2500 0.2500  -0.03
Dy 0.5000 0.5000 0.5000  0.16

## Properties
D(E_F): 3.819 states/eV/f.u.
Total energy: -7.046 eV per atom
Space group: No. 216

---

Compound: GdDyZnSn
Source: Alexandria
Functional: GGA-PBE
Structure: optimized geometry

abc: 5.2110 5.2110 5.2110
angles: 60.00 60.00 60.00
Site moments in Bohr magnetons follow the coordinates.
Sites, in units of the cell vectors:
Zn 0.7500 0.7500 0.7500  -0.01
Gd 0.5000 0.5000 0.5000  7.08
Sn 0.2500 0.2500 0.2500  -0.04
Dy 0.0000 0.0000 0.0000  0.09

## Properties
D(E_F): 2.924 states/eV/f.u.
Total energy: -6.498 eV per atom
Space group: No. 216

---

Compound: SrGdDy2
Source: Alexandria
Functional: GGA-PBE
Structure: optimized geometry

abc: 3.6064 3.6064 12.9477
angles: 81.99 81.99 60.00
Site moments in Bohr magnetons follow the coordinates.
Sites, in units of the cell vectors:
Sr 0.0000 0.0000 0.0000  -0.01
Gd 0.5000 0.5000 0.5000  7.11
Dy 0.0927 0.0927 0.7219  -0.10
Dy 0.9073 0.9073 0.2781  -0.10

## Properties
D(E_F): 6.470 states/eV/f.u.
Distance to the lowest polymorph of the same formula: 2.36 kcal/mol of atoms
Space group: No. 166

---

Which of these has the lowest D(E_F)?
GdDyZnSn

---

Which formula does entry 2 have?
GdDyZnSn

---

D(E_F) of number 3 (SrGdDy2)?
6.470 states/eV/f.u.